Record 1
DFT (PBE) results for Nd2TlS after structural relaxation.

Unit cell a=8.6724 b=8.6724 c=8.6724 alpha=26.43 beta=26.43 gamma=26.43
Fractional coordinates of all 4 atoms:
Nd (0.0000, 0.0000, 0.0000)
Nd (0.2007, 0.2007, 0.2007)
Tl (0.4333, 0.4333, 0.4333)
S (0.6012, 0.6012, 0.6012)

Computed properties:
For the density of states at the Fermi level, the calculation gives 4.0 states/eV per cell. The formation energy from raw total energies is -1.14 eV per atom. The calculation puts the calculated total energy at -5.15 eV per atom. For the spin magnetization, the calculation gives 0.000 μB/atom. The energy relative to the lowest polymorph listed for this composition comes out at 44 meV per atom.

---

Record 2
DFT (PBE) results for PaCu2S3 after structural relaxation.

Unit cell a=3.6829 b=9.6607 c=6.2138 alpha=90.00 beta=90.00 gamma=90.00
Fractional coordinates of all 12 atoms:
Pa (0.0000, 0.1330, 0.0000)
Pa (0.0000, 0.8670, 0.5000)
Cu (0.0000, 0.2176, 0.4852)
Cu (0.0000, 0.7824, 0.9852)
Cu (0.5000, 0.4960, 0.7553)
Cu (0.5000, 0.5040, 0.2553)
S (0.0000, 0.3664, 0.7715)
S (0.0000, 0.6336, 0.2715)
S (0.5000, 0.0536, 0.6890)
S (0.5000, 0.2743, 0.2538)
S (0.5000, 0.7257, 0.7538)
S (0.5000, 0.9464, 0.1890)

Computed properties:
For the density of states at the Fermi level, the calculation gives 7.5 states/eV per cell. The formation energy from raw total energies is -0.84 eV per atom. The calculation puts the calculated total energy at -5.85 eV per atom. For the spin magnetization, the calculation gives 0.000 μB/atom.

---

Record 3
DFT (PBE) results for NpMoP2Ir2 after structural relaxation.

Unit cell a=3.9900 b=3.9900 c=7.2531 alpha=90.00 beta=90.00 gamma=120.00
Fractional coordinates of all 6 atoms:
Np (0.0000, 0.0000, 0.0000)
Mo (0.0000, 0.0000, 0.5000)
P (0.3333, 0.6667, 0.3057)
P (0.6667, 0.3333, 0.6943)
Ir (0.3333, 0.6667, 0.7495)
Ir (0.6667, 0.3333, 0.2505)

Computed properties:
For the density of states at the Fermi level, the calculation gives 12.4 states/eV per cell. The calculation puts the calculated total energy at -9.09 eV per atom. For the spin magnetization, the calculation gives 0.745 μB/atom. As for the energy of formation: -374 meV/atom.

---

> The lowest density of states at the Fermi level belongs to which entry?

Nd2TlS

---

> Number 1 is which compound?

Nd2TlS